Entry 1:
{
  "formula": "Rb2NaTl10",
  "functional": "PBE",
  "state": "relaxed",
  "lattice": [[8.0134, 0.0000, 0.0000], [0.0000, 19.8667, 0.0000], [0.0000, 0.0000, 6.6478]],
  "species": ["Rb", "Rb", "Rb", "Rb", "Na", "Na", "Tl", "Tl", "Tl", "Tl", "Tl", "Tl", "Tl", "Tl", "Tl", "Tl", "Tl", "Tl", "Tl", "Tl", "Tl", "Tl", "Tl", "Tl", "Tl", "Tl"],
  "frac_coords": [[0.2413, 0.1762, 0.0000], [0.2587, 0.6762, 0.0000], [0.7413, 0.3238, 0.0000], [0.7587, 0.8238, 0.0000], [0.0000, 0.0000, 0.5000], [0.5000, 0.5000, 0.5000], [0.0579, 0.8483, 0.5000], [0.0792, 0.2948, 0.5000], [0.1674, 0.4431, 0.2316], [0.1674, 0.4431, 0.7684], [0.1733, 0.5824, 0.5000], [0.3267, 0.0824, 0.5000], [0.3326, 0.9431, 0.2316], [0.3326, 0.9431, 0.7684], [0.4208, 0.7948, 0.5000], [0.4421, 0.3483, 0.5000], [0.5579, 0.6517, 0.5000], [0.5792, 0.2052, 0.5000], [0.6674, 0.0569, 0.2316], [0.6674, 0.0569, 0.7684], [0.6733, 0.9176, 0.5000], [0.8267, 0.4176, 0.5000], [0.8326, 0.5569, 0.2316], [0.8326, 0.5569, 0.7684], [0.9208, 0.7052, 0.5000], [0.9421, 0.1517, 0.5000]],
  "sg": "Pbam (55)",
  "e_form_kj_per_mol_atoms": 2.5,
  "crystal_system": "orthorhombic"
}

---

Entry 2:
{
  "formula": "Rb2Na5Tl4",
  "functional": "PBE",
  "state": "relaxed",
  "lattice": [[6.6652, -3.5946, 0.0000], [6.6652, 3.5946, 0.0000], [-4.3825, 0.0000, 8.4158]],
  "species": ["Rb", "Rb", "Na", "Na", "Na", "Na", "Na", "Tl", "Tl", "Tl", "Tl"],
  "frac_coords": [[0.0231, 0.0231, 0.2312], [0.9769, 0.9769, 0.7688], [0.0302, 0.5537, 0.3260], [0.4463, 0.9698, 0.6740], [0.5000, 0.5000, 0.0000], [0.5537, 0.0302, 0.3260], [0.9698, 0.4463, 0.6740], [0.2760, 0.2760, 0.0330], [0.4646, 0.4646, 0.6359], [0.5354, 0.5354, 0.3641], [0.7240, 0.7240, 0.9670]],
  "sg": "C2/m (12)",
  "e_form_kj_per_mol_atoms": -3.9,
  "crystal_system": "monoclinic"
}

---

Entry 3:
{
  "formula": "RbNa3Tl",
  "functional": "PBE",
  "state": "relaxed",
  "lattice": [[6.5694, 0.0000, 0.0000], [0.0000, 6.5694, 0.0000], [0.0000, 0.0000, 6.5694]],
  "species": ["Rb", "Na", "Na", "Na", "Tl"],
  "frac_coords": [[0.0000, 0.0000, 0.0000], [0.0000, 0.0000, 0.5000], [0.0000, 0.5000, 0.0000], [0.5000, 0.0000, 0.0000], [0.5000, 0.5000, 0.5000]],
  "polymorph_energy_ev_per_atom": 0.542,
  "sg": "Pm-3m (221)",
  "e_form_kj_per_mol_atoms": 48.3,
  "crystal_system": "cubic"
}

---

Entry 4:
{
  "formula": "RbNa6Tl12",
  "functional": "PBE",
  "state": "relaxed",
  "lattice": [[7.5533, 4.3609, 2.9009], [-7.5533, 4.3609, 2.9009], [0.0000, -8.7218, 2.9009]],
  "species": ["Rb", "Na", "Na", "Na", "Na", "Na", "Na", "Tl", "Tl", "Tl", "Tl", "Tl", "Tl", "Tl", "Tl", "Tl", "Tl", "Tl", "Tl"],
  "frac_coords": [[0.0000, 0.0000, 0.0000], [0.0495, 0.5613, 0.3476], [0.3476, 0.0495, 0.5613], [0.4387, 0.6524, 0.9505], [0.5613, 0.3476, 0.0495], [0.6524, 0.9505, 0.4387], [0.9505, 0.4387, 0.6524], [0.1167, 0.1822, 0.7364], [0.1822, 0.7364, 0.1167], [0.2126, 0.3347, 0.4850], [0.2636, 0.8833, 0.8178], [0.3347, 0.4850, 0.2126], [0.4850, 0.2126, 0.3347], [0.5150, 0.7874, 0.6653], [0.6653, 0.5150, 0.7874], [0.7364, 0.1167, 0.1822], [0.7874, 0.6653, 0.5150], [0.8178, 0.2636, 0.8833], [0.8833, 0.8178, 0.2636]],
  "polymorph_energy_ev_per_atom": 0.000,
  "sg": "R-3 (148)",
  "e_form_kj_per_mol_atoms": -7.0,
  "crystal_system": "trigonal"
}